# Li3CuNi3O8

Li3CuNi3O8 after structural relaxation (PBE+U, Alexandria).

The structure in CIF format:
```
data_Li3CuNi3O8
_symmetry_space_group_name_H-M 'P -1'
_symmetry_Int_Tables_number 2
_cell_length_a 5.716
_cell_length_b 5.769
_cell_length_c 5.824
_cell_angle_alpha 118.92
_cell_angle_beta 91.77
_cell_angle_gamma 118.38
loop_
_symmetry_equiv_pos_as_xyz
'x,y,z'
'-x,-y,-z'
loop_
_atom_site_label
_atom_site_type_symbol
_atom_site_fract_x
_atom_site_fract_y
_atom_site_fract_z
_atom_site_occupancy
Li1 Li 0.000 0.000 0.000 1
Li2 Li 0.000 0.500 0.000 1
Li3 Li 0.500 0.000 0.000 1
Cu1 Cu 0.000 0.500 0.500 1
Ni1 Ni 0.000 0.000 0.500 1
Ni2 Ni 0.500 0.000 0.500 1
Ni3 Ni 0.500 0.500 0.500 1
O1 O 0.208 0.951 0.718 1
O2 O 0.239 0.991 0.278 1
O3 O 0.259 0.508 0.719 1
O4 O 0.280 0.542 0.287 1
```

**Final energy**: -4.8604 eV per atom
**Calculated volume**: 9.28 A^3/atom
**Calculated density**: 4.64 Mg/m³
**Density of states at the Fermi level**: 1.9 states/eV/cell